A relaxed Zr2ZnAg crystal, computed with PBE-GGA.

POSCAR file:
```
Zr2ZnAg
1.0
4.650 1.267 0.425
1.178 4.246 1.998
2.085 0.125 4.364
Zr Ag Zn
2 1 1
Cartesian
5.934 4.228 5.090 Zr
0.000 0.000 0.000 Zr
1.978 1.409 1.697 Ag
3.956 2.819 3.393 Zn
```

DFT total energy ... -5.11 eV/atom
SG ... F-43m (216)